Record 1
! PBE Al2IrAu, relaxed; values from VASP
! total energy	-4.813	eV/atom
! magnetic moment	0.000	μB/atom
! calculated formation energy	0.09	eV per atom
! symmetry	I-42d
&SYSTEM
  ibrav = 0, nat = 8, ntyp = 3
/
ATOMIC_SPECIES
Al 26.98 Al.upf
Ir 192.22 Ir.upf
Au 196.97 Au.upf
CELL_PARAMETERS angstrom
5.702 0.000 0.000
0.000 5.702 0.000
2.851 2.851 5.619
ATOMIC_POSITIONS angstrom
Al 4.277 4.416 4.215
Al 1.565 4.277 1.405
Al 7.128 6.988 4.215
Al 4.137 1.426 1.405
Ir 2.851 2.851 0.000
Ir 2.851 5.702 2.810
Au 5.702 2.851 2.810
Au 0.000 0.000 0.000

Record 2
! PBE Tb2PrC, relaxed; values from VASP
! total energy	-5.907	eV/atom
! offset from the most stable computed form	0.066	eV per atom
! magnetic moment	0.102	μB/atom
! calculated formation energy	-0.09	eV per atom
! symmetry	R-3m
&SYSTEM
  ibrav = 0, nat = 4, ntyp = 3
/
ATOMIC_SPECIES
Pr 140.91 Pr.upf
Tb 158.93 Tb.upf
C 12.01 C.upf
CELL_PARAMETERS angstrom
-2.061 1.152 2.662
0.410 -1.335 3.273
6.093 7.049 4.047
ATOMIC_POSITIONS angstrom
Pr 0.000 0.000 0.000
Tb 0.763 2.401 6.687
Tb 3.678 4.465 3.295
C 2.221 3.433 4.991

Record 3
! PBE Ta4GaOs2, relaxed; values from VASP
! total energy	-9.386	eV/atom
! magnetic moment	0.000	μB/atom
! calculated formation energy	1.03	eV per atom
! symmetry	I4/mmm
&SYSTEM
  ibrav = 0, nat = 7, ntyp = 3
/
ATOMIC_SPECIES
Os 190.23 Os.upf
Ga 69.72 Ga.upf
Ta 180.95 Ta.upf
CELL_PARAMETERS angstrom
-3.741 2.466 1.206
0.589 -1.270 4.423
2.187 5.818 3.813
ATOMIC_POSITIONS angstrom
Os -0.703 1.809 3.046
Os -0.262 5.205 6.396
Ga 0.000 0.000 0.000
Ta 0.709 3.768 3.421
Ta -1.870 1.233 0.603
Ta 0.294 -0.635 2.212
Ta -1.674 3.246 6.021

Record 4
! PBE ReAsBr2N, relaxed; values from VASP
! raw formation energy	8.93	eV/f.u.
! total energy	-3.968	eV/atom
! offset from the most stable computed form	0.000	eV per atom
! magnetic moment	0.000	μB/atom
! symmetry	P4/mmm
&SYSTEM
  ibrav = 0, nat = 5, ntyp = 4
/
ATOMIC_SPECIES
As 74.92 As.upf
Re 186.21 Re.upf
Br 79.90 Br.upf
N 14.01 N.upf
CELL_PARAMETERS angstrom
-2.003 4.585 -0.504
-4.272 -2.051 -1.685
-1.655 -0.231 4.477
ATOMIC_POSITIONS angstrom
As -0.828 -0.115 2.238
Re 0.000 0.000 0.000
Br -2.136 -1.026 -0.843
Br -1.001 2.293 -0.252
N -3.965 1.152 1.144

Record 5
! PBE Sc2NbSnN, relaxed; values from VASP
! raw formation energy	-4.47	eV/f.u.
! total energy	-7.907	eV/atom
! magnetic moment	0.000	μB/atom
! symmetry	P4/mmm
&SYSTEM
  ibrav = 0, nat = 5, ntyp = 4
/
ATOMIC_SPECIES
Sn 118.71 Sn.upf
N 14.01 N.upf
Sc 44.96 Sc.upf
Nb 92.91 Nb.upf
CELL_PARAMETERS angstrom
4.538 0.000 0.000
0.000 4.538 0.000
0.000 0.000 4.212
ATOMIC_POSITIONS angstrom
Sn 2.269 2.269 2.106
N 0.000 0.000 0.000
Sc 2.269 0.000 0.000
Sc 0.000 2.269 0.000
Nb 0.000 0.000 2.106

Record 6
! PBE Sm2TmCd5, relaxed; values from VASP
! total energy	-2.602	eV/atom
! magnetic moment	0.033	μB/atom
! calculated formation energy	-0.29	eV per atom
! symmetry	I4/mmm
&SYSTEM
  ibrav = 0, nat = 8, ntyp = 3
/
ATOMIC_SPECIES
Cd 112.41 Cd.upf
Sm 150.36 Sm.upf
Tm 168.93 Tm.upf
CELL_PARAMETERS angstrom
5.133 0.000 0.000
0.000 5.133 0.000
-2.566 -2.566 7.644
ATOMIC_POSITIONS angstrom
Cd 2.566 2.566 0.000
Cd 0.000 2.566 1.753
Cd 2.566 0.000 5.891
Cd 2.566 0.000 1.753
Cd 0.000 2.566 5.891
Sm 0.000 0.000 3.985
Sm 2.566 2.566 3.660
Tm 0.000 0.000 0.000

Record 7
! PBE Nd2Ho2Tl3, relaxed; values from VASP
! total energy	-3.914	eV/atom
! offset from the most stable computed form	0.000	eV per atom
! magnetic moment	0.056	μB/atom
! calculated formation energy	-0.23	eV per atom
! symmetry	Cmmm
&SYSTEM
  ibrav = 0, nat = 7, ntyp = 3
/
ATOMIC_SPECIES
Ho 164.93 Ho.upf
Tl 204.38 Tl.upf
Nd 144.24 Nd.upf
CELL_PARAMETERS angstrom
-0.817 1.999 2.824
-3.192 0.783 -1.477
-6.976 -12.001 8.713
ATOMIC_POSITIONS angstrom
Ho -6.317 -5.338 6.426
Ho -4.668 -3.881 3.634
Tl -5.140 -8.366 6.672
Tl 0.000 0.000 0.000
Tl -5.845 -0.853 3.388
Nd -8.063 -8.793 8.366
Nd -2.922 -0.426 1.693

Record 8
! PBE Cu2TeW, relaxed; values from VASP
! raw formation energy	2.56	eV/f.u.
! total energy	-5.431	eV/atom
! magnetic moment	0.000	μB/atom
! symmetry	Cmmm
&SYSTEM
  ibrav = 0, nat = 4, ntyp = 3
/
ATOMIC_SPECIES
Cu 63.55 Cu.upf
W 183.84 W.upf
Te 127.60 Te.upf
CELL_PARAMETERS angstrom
-1.241 4.267 -2.316
-2.716 -5.238 -1.745
-2.697 -0.378 0.752
ATOMIC_POSITIONS angstrom
Cu 0.000 0.000 0.000
Cu -2.707 -2.808 -0.497
W -1.969 1.944 -0.782
Te -1.979 -0.486 -2.031

Record 9
! PBE RbCrCuSe2, relaxed; values from VASP
! raw formation energy	9.70	eV/f.u.
! total energy	-2.392	eV/atom
! offset from the most stable computed form	2.450	eV per atom
! magnetic moment	0.072	μB/atom
! symmetry	P4/mmm
&SYSTEM
  ibrav = 0, nat = 5, ntyp = 4
/
ATOMIC_SPECIES
Cu 63.55 Cu.upf
Se 78.96 Se.upf
Rb 85.47 Rb.upf
Cr 52.00 Cr.upf
CELL_PARAMETERS angstrom
5.807 0.000 0.000
0.000 4.821 0.000
0.000 0.000 5.807
ATOMIC_POSITIONS angstrom
Cu 0.000 2.410 0.000
Se 2.904 0.000 0.000
Se 0.000 0.000 2.904
Rb 0.000 0.000 0.000
Cr 2.904 2.410 2.904

Record 10
! PBE NpTiNbO6, relaxed; values from VASP
! raw formation energy	-25.33	eV/f.u.
! total energy	-9.554	eV/atom
! magnetic moment	0.445	μB/atom
! symmetry	P-31c
&SYSTEM
  ibrav = 0, nat = 18, ntyp = 4
/
ATOMIC_SPECIES
Nb 92.91 Nb.upf
O 16.00 O.upf
Ti 47.87 Ti.upf
Np 237.00 Np.upf
CELL_PARAMETERS angstrom
5.219 0.000 0.000
-2.610 4.520 0.000
0.000 0.000 9.861
ATOMIC_POSITIONS angstrom
Nb 2.610 1.507 2.465
Nb 0.000 3.013 7.396
O 0.771 4.497 3.571
O 0.900 1.603 3.571
O 0.939 1.581 8.501
O -0.900 1.603 1.360
O 1.710 2.917 6.290
O 3.509 2.917 8.501
O -1.671 2.939 3.571
O 4.281 1.581 6.290
O 3.381 0.022 8.501
O 1.671 2.939 1.360
O 1.838 0.022 6.290
O -0.771 4.497 1.360
Ti 0.000 3.013 2.465
Ti 2.610 1.507 7.396
Np 0.000 0.000 4.931
Np 0.000 0.000 0.000